The following is a DFT calculation (PBE) of KUWN4 after structural relaxation. Values from VASP.

Cell and atoms, written as Quantum ESPRESSO input:
```
&SYSTEM
  ibrav = 0, nat = 14, ntyp = 4
/
ATOMIC_SPECIES
N 14.01 N.upf
K 39.10 K.upf
W 183.84 W.upf
U 238.03 U.upf
CELL_PARAMETERS angstrom
6.047 0.000 -0.116
0.000 5.947 0.000
-2.480 0.000 7.380
ATOMIC_POSITIONS crystal
N 0.037 0.989 0.335
N 0.485 0.750 0.564
N 0.529 0.250 0.783
N 0.963 0.011 0.665
N 0.515 0.250 0.436
N 0.963 0.489 0.665
N 0.471 0.750 0.217
N 0.037 0.511 0.335
K 0.666 0.750 0.930
K 0.334 0.250 0.070
W 0.749 0.250 0.658
W 0.251 0.750 0.342
U 0.795 0.750 0.457
U 0.205 0.250 0.543
```

Properties
Its total moment is 1.0 μB per formula unit. Its volume is 18.83 Å³ per atom. Its formation energy from raw total energies is -0.6569 eV/atom.

=====

The following is a DFT calculation (PBE) of TaV2Br after structural relaxation. Values from VASP.

Cell and atoms, written as Quantum ESPRESSO input:
```
&SYSTEM
  ibrav = 0, nat = 4, ntyp = 3
/
ATOMIC_SPECIES
Br 79.90 Br.upf
V 50.94 V.upf
Ta 180.95 Ta.upf
CELL_PARAMETERS angstrom
0.000 3.185 3.185
3.185 0.000 3.185
3.185 3.185 0.000
ATOMIC_POSITIONS crystal
Br 0.000 0.000 0.000
V 0.750 0.750 0.750
V 0.250 0.250 0.250
Ta 0.500 0.500 0.500
```

Properties
Its total moment is 1.7 μB per formula unit. Its volume is 16.15 Å³ per atom. Its formation energy from raw total energies is 0.8090 eV/atom.

=====

The following is a DFT calculation (PBE) of TlCuW3 after structural relaxation. Values from VASP.

Cell and atoms, written as Quantum ESPRESSO input:
```
&SYSTEM
  ibrav = 0, nat = 5, ntyp = 3
/
ATOMIC_SPECIES
W 183.84 W.upf
Cu 63.55 Cu.upf
Tl 204.38 Tl.upf
CELL_PARAMETERS angstrom
4.569 0.000 0.000
0.000 4.569 0.000
0.000 0.000 4.569
ATOMIC_POSITIONS crystal
W 0.500 0.000 0.000
W 0.000 0.000 0.500
W 0.000 0.500 0.000
Cu 0.000 0.000 0.000
Tl 0.500 0.500 0.500
```

Properties
Its total moment is 0.0 μB per formula unit. Its volume is 19.07 Å³ per atom. The calculation puts the final energy at -36.0 eV/f.u.

=====

The following is a DFT calculation (PBE) of Pm2CdRh after structural relaxation. Values from VASP.

Cell and atoms, written as Quantum ESPRESSO input:
```
&SYSTEM
  ibrav = 0, nat = 4, ntyp = 3
/
ATOMIC_SPECIES
Pm 145.00 Pm.upf
Cd 112.41 Cd.upf
Rh 102.91 Rh.upf
CELL_PARAMETERS angstrom
5.188 0.000 0.000
2.594 4.493 0.000
2.594 1.498 4.236
ATOMIC_POSITIONS crystal
Pm 0.750 0.750 0.750
Pm 0.250 0.250 0.250
Cd 0.500 0.500 0.500
Rh 0.000 0.000 0.000
```

Properties
Its total moment is 0.0 μB per formula unit. Its volume is 24.68 Å³ per atom. The calculation puts the final energy at -19.5 eV/f.u.

=====

The following is a DFT calculation (PBE) of SrLaCo2 after structural relaxation. Values from VASP.

Cell and atoms, written as Quantum ESPRESSO input:
```
&SYSTEM
  ibrav = 0, nat = 4, ntyp = 3
/
ATOMIC_SPECIES
Sr 87.62 Sr.upf
Co 58.93 Co.upf
La 138.91 La.upf
CELL_PARAMETERS angstrom
3.566 0.000 0.000
0.000 3.566 0.000
0.000 0.000 7.189
ATOMIC_POSITIONS crystal
Sr 0.500 0.500 0.750
Co 0.000 0.000 0.047
Co 0.000 0.000 0.453
La 0.500 0.500 0.250
```

Properties
Its total moment is 1.5 μB per formula unit. Its volume is 22.86 Å³ per atom. The calculation puts the final energy at -19.7 eV/f.u.

=====

The following is a DFT calculation (PBE) of Tm2PaTe2N2 after structural relaxation. Values from VASP.

Cell and atoms, written as Quantum ESPRESSO input:
```
&SYSTEM
  ibrav = 0, nat = 7, ntyp = 4
/
ATOMIC_SPECIES
Pa 231.04 Pa.upf
Tm 168.93 Tm.upf
N 14.01 N.upf
Te 127.60 Te.upf
CELL_PARAMETERS angstrom
-1.852 2.178 3.314
-0.845 -3.790 2.019
8.515 1.203 1.078
ATOMIC_POSITIONS crystal
Pa 0.000 0.000 0.000
Tm 0.604 0.604 0.208
Tm 0.396 0.396 0.792
N 0.500 0.000 0.000
N 0.000 0.500 0.000
Te 0.187 0.187 0.374
Te 0.813 0.813 0.626
```

Properties
Its total moment is 0.0 μB per formula unit. Its volume is 22.15 Å³ per atom. Its formation energy from raw total energies is -1.2133 eV/atom.

=====

The following is a DFT calculation (PBE) of NaPr2Co after structural relaxation. Values from VASP.

Cell and atoms, written as Quantum ESPRESSO input:
```
&SYSTEM
  ibrav = 0, nat = 4, ntyp = 3
/
ATOMIC_SPECIES
Pr 140.91 Pr.upf
Na 22.99 Na.upf
Co 58.93 Co.upf
CELL_PARAMETERS angstrom
3.505 0.000 0.000
0.000 3.505 0.000
0.000 0.000 9.567
ATOMIC_POSITIONS crystal
Pr 0.000 0.000 0.824
Pr 0.000 0.000 0.176
Na 0.500 0.500 0.500
Co 0.500 0.500 0.000
```

Properties
Its total moment is 0.7 μB per formula unit. Its volume is 29.38 Å³ per atom. The calculation puts the final energy at -17.7 eV/f.u.

=====

The following is a DFT calculation (PBE) of Sc2SnAs2 after structural relaxation. Values from VASP.

Cell and atoms, written as Quantum ESPRESSO input:
```
&SYSTEM
  ibrav = 0, nat = 10, ntyp = 3
/
ATOMIC_SPECIES
As 74.92 As.upf
Sc 44.96 Sc.upf
Sn 118.71 Sn.upf
CELL_PARAMETERS angstrom
-2.941 1.474 -6.894
-6.260 -3.981 1.819
-1.543 3.022 1.304
ATOMIC_POSITIONS crystal
As 0.647 0.147 0.000
As 0.353 0.853 0.000
As 0.147 0.353 0.000
As 0.853 0.647 0.000
Sc 0.848 0.348 0.500
Sc 0.652 0.848 0.500
Sc 0.348 0.152 0.500
Sc 0.152 0.652 0.500
Sn 0.000 0.000 0.000
Sn 0.500 0.500 0.000
```

Properties
Its total moment is 0.0 μB per formula unit. Its volume is 21.21 Å³ per atom. The calculation puts the final energy at -29.8 eV/f.u.

=====

The following is a DFT calculation (PBE) of Ac2CeNpN6 after structural relaxation. Values from VASP.

Cell and atoms, written as Quantum ESPRESSO input:
```
&SYSTEM
  ibrav = 0, nat = 20, ntyp = 4
/
ATOMIC_SPECIES
N 14.01 N.upf
Ac 227.00 Ac.upf
Ce 140.12 Ce.upf
Np 237.00 Np.upf
CELL_PARAMETERS angstrom
-1.295 -4.602 3.825
3.063 -3.869 -3.618
7.294 1.677 4.382
ATOMIC_POSITIONS crystal
N 0.587 0.024 0.265
N 0.706 0.271 0.551
N 0.734 0.297 0.955
N 0.913 0.524 0.235
N 0.206 0.229 0.051
N 0.087 0.476 0.765
N 0.794 0.771 0.949
N 0.413 0.976 0.735
N 0.266 0.703 0.045
N 0.234 0.203 0.455
N 0.294 0.729 0.449
N 0.766 0.797 0.545
Ac 0.990 0.030 0.750
Ac 0.510 0.530 0.750
Ac 0.010 0.970 0.250
Ac 0.490 0.470 0.250
Ce 0.500 0.000 0.000
Ce 0.000 0.500 0.500
Np 0.500 0.000 0.500
Np 0.000 0.500 0.000
```

Properties
Its total moment is 0.0 μB per formula unit. Its volume is 16.25 Å³ per atom. Its formation energy from raw total energies is -1.1010 eV/atom.

=====

The following is a DFT calculation (PBE) of KNpGaS4 after structural relaxation. Values from VASP.

Cell and atoms, written as Quantum ESPRESSO input:
```
&SYSTEM
  ibrav = 0, nat = 14, ntyp = 4
/
ATOMIC_SPECIES
Ga 69.72 Ga.upf
Np 237.00 Np.upf
S 32.06 S.upf
K 39.10 K.upf
CELL_PARAMETERS angstrom
-4.042 -3.438 -3.727
4.833 -4.356 -1.221
-0.633 -3.025 8.285
ATOMIC_POSITIONS crystal
Ga 0.234 0.750 0.333
Ga 0.766 0.250 0.667
Np 0.776 0.750 0.448
Np 0.224 0.250 0.552
S 0.013 0.509 0.703
S 0.013 0.991 0.703
S 0.559 0.250 0.829
S 0.987 0.009 0.297
S 0.462 0.750 0.586
S 0.987 0.491 0.297
S 0.538 0.250 0.414
S 0.441 0.750 0.171
K 0.740 0.750 0.943
K 0.260 0.250 0.057
```

Properties
Its total moment is 3.0 μB per formula unit. Its volume is 25.76 Å³ per atom. Its formation energy from raw total energies is -1.0720 eV/atom.

=====

The following is a DFT calculation (PBE) of Mn3Cu2Pd7 after structural relaxation. Values from VASP.

Cell and atoms, written as Quantum ESPRESSO input:
```
&SYSTEM
  ibrav = 0, nat = 12, ntyp = 3
/
ATOMIC_SPECIES
Mn 54.94 Mn.upf
Pd 106.42 Pd.upf
Cu 63.55 Cu.upf
CELL_PARAMETERS angstrom
-3.914 -2.316 -0.829
2.059 0.243 -4.131
1.027 -8.633 3.225
ATOMIC_POSITIONS crystal
Mn 0.833 0.167 0.334
Mn 0.167 0.833 0.666
Mn 0.500 0.500 0.000
Pd 0.000 0.000 0.000
Pd 0.414 0.087 0.173
Pd 0.750 0.750 0.500
Pd 0.586 0.913 0.827
Pd 0.087 0.414 0.827
Pd 0.250 0.250 0.500
Pd 0.913 0.586 0.173
Cu 0.332 0.668 0.335
Cu 0.668 0.332 0.665
```

Properties
Its total moment is 13.3 μB per formula unit. Its volume is 14.73 Å³ per atom. The calculation puts the final energy at -74.4 eV/f.u.